Below is a geometry-optimized Na2PuMnO6 structure, with properties calculated at the PBE+U level.

Cell: 5.6930 5.6930 4.0969 Å, 90.00 90.00 90.00°
Space group P4mm (No. 99)
One atom of each set of equivalent atoms:
Na: 0.0000 0.5000 0.0000 [2 per cell]
Pu: 0.0000 0.0000 0.5021 [1 per cell]
Mn: 0.5000 0.5000 0.5020 [1 per cell]
O: 0.0000 0.0000 0.0021 [1 per cell]
O: 0.2443 0.2443 0.5024 [4 per cell]
O: 0.5000 0.5000 0.0021 [1 per cell]

For the density of states at the Fermi level, the calculation gives 3.7 states/eV per cell. For the total energy, the calculation gives -7.3252 eV per atom.